1.
Density functional theory data (PBE) for a geometry-optimized Sc4IrAu2 structure.

Cell: 8.107 8.107 8.107 Å, 33.59 33.59 33.59°
Element x y z (fractional)
Sc  0.124  0.124  0.124
Sc  0.374  0.374  0.374
Sc  0.626  0.626  0.626
Sc  0.876  0.876  0.876
Ir  0.000  0.000  0.000
Au  0.248  0.248  0.248
Au  0.752  0.752  0.752

raw total energy = -6.5329 eV per atom
SG = R-3m, No. 166
total moment = 0.00 μB per formula unit

***

2.
Density functional theory data (PBE) for a geometry-optimized KAlRu2 structure.

Cell: 2.788 3.762 7.911 Å, 90.00 90.17 90.00°
Element x y z (fractional)
K  0.000  0.000  0.000
Al  0.497  0.500  0.350
Ru  0.499  0.500  0.665
Ru  0.997  0.000  0.528

raw total energy = -5.5157 eV per atom
SG = Pm, No. 6
total moment = 0.00 μB per formula unit

***

3.
Density functional theory data (PBE) for a geometry-optimized PmSm9Dy2 structure.

Cell: 5.111 5.111 15.328 Å, 90.00 90.00 90.00°
Element x y z (fractional)
Pm  0.000  0.000  0.000
Sm  0.000  0.500  0.168
Sm  0.000  0.500  0.500
Sm  0.000  0.500  0.832
Sm  0.500  0.000  0.168
Sm  0.500  0.000  0.500
Sm  0.500  0.000  0.832
Sm  0.500  0.500  0.000
Sm  0.500  0.500  0.334
Sm  0.500  0.500  0.666
Dy  0.000  0.000  0.334
Dy  0.000  0.000  0.666

raw total energy = -4.6842 eV per atom
SG = P4/mmm, No. 123
total moment = 0.00 μB per formula unit

***

4.
Density functional theory data (PBE) for a geometry-optimized MgRu2Pb structure.

Cell: 4.610 4.610 4.610 Å, 60.00 60.00 60.00°
Element x y z (fractional)
Mg  0.000  0.000  0.000
Ru  0.500  0.500  0.500
Ru  0.750  0.750  0.750
Pb  0.250  0.250  0.250

raw total energy = -5.5412 eV per atom
SG = F-43m, No. 216
total moment = 2.16 μB per formula unit

***

5.
Density functional theory data (PBE) for a geometry-optimized TaRe2B structure.

Cell: 9.087 9.087 9.087 Å, 156.02 156.02 34.17°
Element x y z (fractional)
Ta  0.000  0.000  0.000
Ta  0.750  0.250  0.500
Re  0.184  0.625  0.059
Re  0.375  0.434  0.559
Re  0.566  0.125  0.941
Re  0.875  0.816  0.441
B  0.250  0.750  0.500
B  0.500  0.500  0.000

raw total energy = -10.1887 eV per atom
SG = I-42d, No. 122
total moment = 0.00 μB per formula unit

***

6.
Density functional theory data (PBE) for a geometry-optimized ZrSc2HIr structure.

Cell: 4.155 4.155 4.646 Å, 90.00 90.00 90.00°
Element x y z (fractional)
Zr  0.000  0.000  0.000
Sc  0.000  0.500  0.500
Sc  0.500  0.000  0.500
H  0.000  0.000  0.500
Ir  0.500  0.500  0.000

raw total energy = -7.0989 eV per atom
SG = P4/mmm, No. 123
total moment = 0.00 μB per formula unit

***

7.
Density functional theory data (PBE) for a geometry-optimized Pm4Sm3Er2 structure.

Cell: 8.082 8.082 8.059 Å, 107.54 107.54 36.84°
Element x y z (fractional)
Pm  0.055  0.055  0.331
Pm  0.278  0.278  0.669
Pm  0.722  0.722  0.331
Pm  0.945  0.945  0.669
Sm  0.388  0.388  0.332
Sm  0.500  0.500  0.000
Sm  0.612  0.612  0.668
Er  0.168  0.168  0.000
Er  0.832  0.832  0.000

raw total energy = -4.6805 eV per atom
SG = C2/m, No. 12
total moment = 0.00 μB per formula unit

***

8.
Density functional theory data (PBE) for a geometry-optimized Ag2Te3Se4 structure.

Cell: 8.508 8.508 7.831 Å, 105.33 105.33 82.23°
Element x y z (fractional)
Ag  0.117  0.317  0.362
Ag  0.317  0.117  0.862
Ag  0.683  0.883  0.138
Ag  0.883  0.683  0.638
Te  0.011  0.258  0.971
Te  0.258  0.011  0.471
Te  0.389  0.611  0.750
Te  0.611  0.389  0.250
Te  0.742  0.989  0.529
Te  0.989  0.742  0.029
Se  0.144  0.649  0.494
Se  0.223  0.446  0.979
Se  0.351  0.856  0.006
Se  0.446  0.223  0.479
Se  0.554  0.777  0.521
Se  0.649  0.144  0.994
Se  0.777  0.554  0.021
Se  0.856  0.351  0.506

SG = C2/c, No. 15
total moment = 0.00 μB per formula unit
E_form (uncorrected) = 26 kJ/mol of formula units

***

What is the total moment in the seventh record? 0.00 μB per formula unit